Material: CePu2Mn
Method: DFT, PBE-GGA
State: optimized geometry

Output
spin magnetization = 9.6 Bohr magnetons per cell
VASP energy = -10.8342 eV/atom
E_form = 0.108 eV/atom

abc: 5.003 5.003 5.003
angles: 60.00 60.00 60.00
Sites, in units of the cell vectors:
Ce 0.000 0.000 0.000
Pu 0.250 0.250 0.250
Pu 0.750 0.750 0.750
Mn 0.500 0.500 0.500

Material: Nd12Tc3O5
Method: DFT, PBE-GGA
State: optimized geometry

Output
spin magnetization = 0.0 Bohr magnetons per cell
formation energy from raw total energies = -2442 kJ/mol of formula units
VASP energy = -6.9208 eV/atom

abc: 13.619 13.619 13.619
angles: 109.47 109.47 109.47
Sites, in units of the cell vectors:
Nd 0.025 0.207 0.121
Nd 0.025 0.318 0.904
Nd 0.086 0.707 0.682
Nd 0.086 0.879 0.404
Nd 0.096 0.621 0.414
Nd 0.096 0.975 0.682
Nd 0.121 0.025 0.207
Nd 0.121 0.596 0.914
Nd 0.182 0.207 0.586
Nd 0.182 0.475 0.596
Nd 0.207 0.121 0.025
Nd 0.207 0.586 0.182
Nd 0.293 0.318 0.914
Nd 0.293 0.475 0.379
Nd 0.318 0.904 0.025
Nd 0.318 0.914 0.293
Nd 0.379 0.293 0.475
Nd 0.379 0.586 0.904
Nd 0.404 0.086 0.879
Nd 0.404 0.818 0.525
Nd 0.414 0.096 0.621
Nd 0.414 0.818 0.793
Nd 0.475 0.379 0.293
Nd 0.475 0.596 0.182
Nd 0.525 0.404 0.818
Nd 0.525 0.621 0.707
Nd 0.586 0.182 0.207
Nd 0.586 0.904 0.379
Nd 0.596 0.182 0.475
Nd 0.596 0.914 0.121
Nd 0.621 0.414 0.096
Nd 0.621 0.707 0.525
Nd 0.682 0.086 0.707
Nd 0.682 0.096 0.975
Nd 0.707 0.525 0.621
Nd 0.707 0.682 0.086
Nd 0.793 0.414 0.818
Nd 0.793 0.879 0.975
Nd 0.818 0.525 0.404
Nd 0.818 0.793 0.414
Nd 0.879 0.404 0.086
Nd 0.879 0.975 0.793
Nd 0.904 0.025 0.318
Nd 0.904 0.379 0.586
Nd 0.914 0.121 0.596
Nd 0.914 0.293 0.318
Nd 0.975 0.682 0.096
Nd 0.975 0.793 0.879
Tc 0.125 0.250 0.375
Tc 0.125 0.375 0.750
Tc 0.250 0.375 0.125
Tc 0.250 0.875 0.625
Tc 0.375 0.125 0.250
Tc 0.375 0.750 0.125
Tc 0.625 0.250 0.875
Tc 0.625 0.875 0.750
Tc 0.750 0.125 0.375
Tc 0.750 0.625 0.875
Tc 0.875 0.625 0.250
Tc 0.875 0.750 0.625
O 0.000 0.000 0.000
O 0.000 0.000 0.500
O 0.000 0.500 0.000
O 0.000 0.500 0.500
O 0.125 0.750 0.875
O 0.125 0.875 0.250
O 0.250 0.125 0.875
O 0.250 0.625 0.375
O 0.375 0.250 0.625
O 0.375 0.625 0.750
O 0.500 0.000 0.000
O 0.500 0.000 0.500
O 0.500 0.500 0.000
O 0.500 0.500 0.500
O 0.625 0.375 0.250
O 0.625 0.750 0.375
O 0.750 0.375 0.625
O 0.750 0.875 0.125
O 0.875 0.125 0.750
O 0.875 0.250 0.125

Material: K2SmTeSe4
Method: DFT, PBE-GGA
State: optimized geometry

Output
spin magnetization = 0.0 Bohr magnetons per cell
formation energy from raw total energies = -826 kJ/mol of formula units
VASP energy = -4.0691 eV/atom

abc: 8.697 8.697 8.668
angles: 117.29 117.29 89.97
Sites, in units of the cell vectors:
K 0.000 0.000 0.000
K 0.000 0.000 0.500
K 0.000 0.500 0.000
K 0.500 0.000 0.500
Sm 0.500 0.500 0.000
Sm 0.500 0.500 0.500
Te 0.000 0.500 0.500
Te 0.500 0.000 0.000
Se 0.234 0.709 0.491
Se 0.264 0.300 0.547
Se 0.291 0.766 0.009
Se 0.300 0.264 0.047
Se 0.700 0.736 0.953
Se 0.709 0.234 0.991
Se 0.736 0.700 0.453
Se 0.766 0.291 0.509

Material: CrSi2Ag
Method: DFT, PBE-GGA
State: optimized geometry

Output
spin magnetization = 2.3 Bohr magnetons per cell
formation energy from raw total energies = 123 kJ/mol of formula units
VASP energy = -5.5104 eV/atom

abc: 4.568 4.568 2.830
angles: 90.00 90.00 96.72
Sites, in units of the cell vectors:
Cr 0.000 0.000 0.000
Si 0.000 0.500 0.500
Si 0.500 0.000 0.500
Ag 0.500 0.500 0.000